Entry from the Alexandria database: a geometry-optimized VHIN2 structure (PBE).

As for the electronic total energy: -20.4 eV per cell. The value obtained for the density is 6.2 g/cm3. The density of states at the Fermi level comes out at 5.5 states/eV/f.u. Its energy above the most stable polymorph in this dataset is 1.360 eV per atom.

The structure belongs to space group P4/mmm (No. 123); the cell edges are 4.075, 4.075 and 3.339 Å and the angles 90.00°, 90.00° and 90.00°. The distinct sites, in fractional coordinates, are V at (0.000, 0.000, 0.000), H at (0.500, 0.500, 0.500), I at (0.500, 0.500, 0.000) and N at (0.000, 0.500, 0.500).